1.
A relaxed structure of In2CuHgW, computed with PBE.

```
In2CuHgW
1.0
5.450 0.000 0.000
0.000 5.450 0.000
0.000 0.000 4.705
In Cu Hg W
2 1 1 1
direct
0.000 0.500 0.000
0.500 0.000 0.000
0.000 0.000 0.500
0.500 0.500 0.500
0.000 0.000 0.000
```

Results
symmetry: P4/mmm
theoretical density: 8.1 g/cm³
VASP energy: -3.579 eV per atom

***

2.
A relaxed structure of ZnIn2CuHg, computed with PBE.

```
ZnIn2CuHg
1.0
5.094 0.000 0.000
0.000 5.094 0.000
0.000 0.000 4.769
Zn In Cu Hg
1 2 1 1
direct
0.000 0.000 0.000
0.000 0.500 0.500
0.500 0.000 0.500
0.000 0.000 0.500
0.500 0.500 0.000
```

Results
symmetry: P4/mmm
theoretical density: 7.5 g/cm³
VASP energy: -2.093 eV per atom

***

3.
A relaxed structure of CuHgIr2, computed with PBE.

```
CuHgIr2
1.0
4.657 -1.406 0.000
4.657 1.406 0.000
-0.979 0.000 4.722
Cu Hg Ir
1 1 2
direct
0.000 0.000 0.000
0.500 0.500 0.500
0.261 0.261 0.772
0.739 0.739 0.228
```

Results
symmetry: C2/m
theoretical density: 17.4 g/cm³
offset from the most stable computed form: 74 meV/atom
VASP energy: -5.217 eV per atom

***

4.
A relaxed structure of CuHgIr2, computed with PBE.

```
CuHgIr2
1.0
-1.429 2.365 4.690
1.429 -2.365 4.690
1.429 2.365 -4.690
Cu Hg Ir
1 1 2
direct
0.000 0.000 0.000
0.258 0.758 0.500
0.527 0.527 0.000
0.761 0.261 0.500
```

Results
symmetry: Imm2
theoretical density: 17.0 g/cm³
offset from the most stable computed form: 246 meV/atom
VASP energy: -5.044 eV per atom

***

5.
A relaxed structure of CuHgIr4, computed with PBE.

```
CuHgIr4
1.0
0.000 3.690 3.690
3.690 0.000 3.690
3.690 3.690 0.000
Cu Hg Ir
1 1 4
direct
0.000 0.000 0.000
0.750 0.750 0.750
0.375 0.375 0.375
0.375 0.375 0.876
0.375 0.876 0.375
0.876 0.375 0.375
```

Results
symmetry: F-43m
theoretical density: 17.1 g/cm³
VASP energy: -6.025 eV per atom

***

6.
A relaxed structure of CuHgIr, computed with PBE.

```
CuHgIr
1.0
0.000 2.401 6.867
1.468 0.000 6.867
1.468 2.401 0.000
Cu Hg Ir
1 1 1
direct
0.000 0.000 0.000
0.668 0.668 0.332
0.348 0.348 0.652
```

Results
symmetry: Fmm2
theoretical density: 15.7 g/cm³
offset from the most stable computed form: 61 meV/atom
VASP energy: -3.992 eV per atom

***

Question: Look up the theoretical density of the third one.
Answer: 17.4 g/cm³